Record 1
A geometry-optimized La2Si3Pd3 structure. Source: the Open Quantum Materials Database, functional PBE.

Lattice parameters (Å, degrees): 4.2648 4.2663 17.3889 90.00 90.00 90.00
With the nearest neighbours (Å) after each atom.
Atoms (fractional coordinates):
La1 0.5000 0.0000 0.1449  6 Pd 3.23-3.33, 8 Si 3.24-3.26
La2 0.5000 0.5000 0.3532  8 Pd 3.24-3.36, 6 Si 3.25-3.27
La3 0.0000 0.0000 0.6468  8 Pd 3.24-3.36, 6 Si 3.25-3.27
La4 0.0000 0.5000 0.8551  6 Pd 3.23-3.33, 8 Si 3.24-3.26
Pd1 0.0000 0.0000 0.0023  4 Si 2.47-2.51
Pd2 0.0000 0.0000 0.2846  3 Si 2.45-2.47
Pd3 0.5000 0.0000 0.4975  4 Si 2.47-2.52
Pd4 0.0000 0.5000 0.5025  4 Si 2.47-2.52
Pd5 0.5000 0.5000 0.7154  3 Si 2.45-2.47
Pd6 0.5000 0.5000 0.9977  4 Si 2.47-2.51
Si1 0.0000 0.5000 0.0742  1 Si 2.40, 4 Pd 2.47-2.51
Si2 0.0000 0.5000 0.2124  1 Si 2.40, 2 Pd 2.47
Si3 0.0000 0.0000 0.4257  5 Pd 2.45-2.52
Si4 0.5000 0.5000 0.5743  5 Pd 2.45-2.52
Si5 0.5000 0.0000 0.7876  1 Si 2.40, 2 Pd 2.47
Si6 0.5000 0.0000 0.9258  1 Si 2.40, 4 Pd 2.47-2.51

Volume in Å³ per cell: 316
Space-group type: Pmmn (59)
Raw total energy in eV per atom: -6.16
Total magnetic moment in μB/cell: 0.0


Record 2
A geometry-optimized MgNi structure. Source: the Open Quantum Materials Database, functional PBE.

Lattice parameters (Å, degrees): 4.3830 2.9154 4.3606 90.00 90.00 90.00
With the nearest neighbours (Å) after each atom.
Atoms (fractional coordinates):
Mg1 0.9357 0.0000 0.0000  8 Ni 2.60-2.66, 2 Mg 2.92
Mg2 0.3976 0.0000 0.5000  8 Ni 2.60-2.66, 2 Mg 2.92
Ni1 0.4433 0.5000 0.0000  8 Mg 2.60-2.66, 2 Ni 2.92
Ni2 0.8901 0.5000 0.5000  8 Mg 2.60-2.66, 2 Ni 2.92

Volume in Å³ per cell: 56
Space-group type: Pmma (51)
Raw total energy in eV per atom: -3.72
Total magnetic moment in μB/cell: 0.0


Record 3
A geometry-optimized NaAs5Pd3 structure. Source: the Open Quantum Materials Database, functional PBE.

Lattice parameters (Å, degrees): 5.5510 5.5510 7.2567 90.00 90.00 120.00
With the nearest neighbours (Å) after each atom.
Atoms (fractional coordinates):
As1 0.6667 0.3333 0.2228  3 Pd 2.57
As2 0.3333 0.6667 0.2228  3 Pd 2.57
As3 0.0000 0.0000 0.5000  6 Pd 2.78
As4 0.6667 0.3333 0.7772  3 Pd 2.57
As5 0.3333 0.6667 0.7772  3 Pd 2.57
Na1 0.0000 0.0000 0.0000  14 As 3.59-3.63
Pd1 0.5000 0.0000 0.5000  6 As 2.57-2.78, 4 Pd 2.78
Pd2 0.0000 0.5000 0.5000  6 As 2.57-2.78, 4 Pd 2.78
Pd3 0.5000 0.5000 0.5000  6 As 2.57-2.78, 4 Pd 2.78

Volume in Å³ per cell: 194
Space-group type: P6/mmm (191)
Raw total energy in eV per atom: -4.53


Record 4
A geometry-optimized ReB4Os structure. Source: the Open Quantum Materials Database, functional PBE.

Lattice parameters (Å, degrees): 2.9561 2.9561 6.9610 90.00 90.00 120.00
With the nearest neighbours (Å) after each atom.
Atoms (fractional coordinates):
B1 0.6667 0.3333 0.2473  3 B 1.71
B2 0.3333 0.6667 0.2473  3 B 1.71
B3 0.6667 0.3333 0.7527  3 B 1.71
B4 0.3333 0.6667 0.7527  3 B 1.71
Os1 0.0000 0.0000 0.5000  12 B 2.45
Re1 0.0000 0.0000 0.0000  12 B 2.42

Volume in Å³ per cell: 53
Space-group type: P6/mmm (191)
Raw total energy in eV per atom: -8.03
Polymorph energy (0 for the lowest one) in meV per atom: 0.0
Total magnetic moment in μB/cell: 0.0


Repeat the second record exactly.
A geometry-optimized MgNi structure. Source: the Open Quantum Materials Database, functional PBE.

Lattice parameters (Å, degrees): 4.3830 2.9154 4.3606 90.00 90.00 90.00
With the nearest neighbours (Å) after each atom.
Atoms (fractional coordinates):
Mg1 0.9357 0.0000 0.0000  8 Ni 2.60-2.66, 2 Mg 2.92
Mg2 0.3976 0.0000 0.5000  8 Ni 2.60-2.66, 2 Mg 2.92
Ni1 0.4433 0.5000 0.0000  8 Mg 2.60-2.66, 2 Ni 2.92
Ni2 0.8901 0.5000 0.5000  8 Mg 2.60-2.66, 2 Ni 2.92

Volume in Å³ per cell: 56
Space-group type: Pmma (51)
Raw total energy in eV per atom: -3.72
Total magnetic moment in μB/cell: 0.0